1.
# SbIr2O

SbIr2O after structural relaxation (PBEsol, Alexandria via LeMat-Bulk).

## Properties
Total DFT energy (no corrections) in eV for the cell shown: -115.85

a b c (Å): 4.662 4.662 12.586
angles (deg): 90.00 90.00 90.00
Fractional coordinates of all 16 atoms:
Sb  0.000  0.000  0.000
Sb  0.000  0.500  0.250
Sb  0.500  0.000  0.750
Sb  0.500  0.500  0.500
Ir  0.114  0.250  0.625
Ir  0.250  0.614  0.875
Ir  0.250  0.886  0.375
Ir  0.386  0.250  0.125
Ir  0.614  0.750  0.125
Ir  0.750  0.114  0.375
Ir  0.750  0.386  0.875
Ir  0.886  0.750  0.625
O  0.000  0.000  0.500
O  0.000  0.500  0.750
O  0.500  0.000  0.250
O  0.500  0.500  0.000

=====

2.
# SbIr3O

SbIr3O after structural relaxation (PBEsol, Alexandria via LeMat-Bulk).

## Properties
Total DFT energy (no corrections) in eV for the cell shown: -35.10

a b c (Å): 4.204 4.204 4.204
angles (deg): 90.00 90.00 90.00
Fractional coordinates of all 5 atoms:
Sb  0.000  0.000  0.000
Ir  0.000  0.500  0.500
Ir  0.500  0.000  0.500
Ir  0.500  0.500  0.000
O  0.500  0.500  0.500

=====

- Number 1 is which compound?
  SbIr2O